! BaCo2As | Alexandria | GGA-PBE | relaxed; values from VASP
&SYSTEM
  ibrav = 0, nat = 4, ntyp = 3
/
ATOMIC_SPECIES
Co 58.93 Co.upf
Ba 137.33 Ba.upf
As 74.92 As.upf
CELL_PARAMETERS angstrom
3.207 0.002 0.000
-0.008 3.207 0.000
0.000 0.000 7.193
ATOMIC_POSITIONS angstrom
Co 0.000 0.000 0.602
Co 0.000 0.000 2.994
Ba 1.599 1.605 5.395
As 1.599 1.605 1.798
! space group: Cmmm
! DFT formation energy: 389 meV/atom
! DOS(E_F): 6.3 states/eV per cell
! total energy: -0.1767 Ha/atom